Record 1
Compound: RhSeBr2N
Source: Alexandria via LeMat-Bulk
Functional: PBEsol
Structure: relaxed

extended XYZ file:
```
5
Lattice="4.509 0.000 0.000 0.000 4.509 0.000 0.000 0.000 4.255" Properties=species:S:1:pos:R:3 pbc="T T T"
Rh 0.000 0.000 0.000
Se 2.254 2.254 0.000
Br 0.000 2.254 2.127
Br 2.254 0.000 2.127
N 2.254 2.254 2.127
```

Calculated values
final energy	-3.57	eV/atom
space group	P4/mmm (123)
magnetization	1.47	μB per formula unit

---

Record 2
Compound: TlRuBrN2
Source: Alexandria via LeMat-Bulk
Functional: PBEsol
Structure: relaxed

extended XYZ file:
```
5
Lattice="3.849 0.000 0.000 0.000 3.849 0.000 0.000 0.000 5.721" Properties=species:S:1:pos:R:3 pbc="T T T"
Tl 0.000 0.000 0.000
Ru 0.000 0.000 2.860
Br 1.925 1.925 0.000
N 0.000 1.925 2.860
N 1.925 0.000 2.860
```

Calculated values
final energy	-5.76	eV/atom
space group	P4/mmm (123)
magnetization	0.00	μB per formula unit

---

Record 3
Compound: TcS2BrN
Source: Alexandria via LeMat-Bulk
Functional: PBEsol
Structure: relaxed

extended XYZ file:
```
5
Lattice="4.864 0.000 0.000 0.000 4.864 0.000 0.000 0.000 3.597" Properties=species:S:1:pos:R:3 pbc="T T T"
Tc 0.000 0.000 0.000
S 0.000 2.432 1.798
S 2.432 0.000 1.798
Br 2.432 2.432 1.798
N 2.432 2.432 0.000
```

Calculated values
final energy	-4.20	eV/atom
space group	P4/mmm (123)
magnetization	3.86	μB per formula unit

---

Record 4
Compound: TlSBrN2
Source: Alexandria via LeMat-Bulk
Functional: PBEsol
Structure: relaxed

extended XYZ file:
```
5
Lattice="4.249 0.000 0.000 0.000 4.249 0.000 0.000 0.000 5.667" Properties=species:S:1:pos:R:3 pbc="T T T"
Tl 0.000 0.000 0.000
S 0.000 0.000 2.834
Br 2.125 2.125 2.834
N 0.000 2.125 0.000
N 2.125 0.000 0.000
```

Calculated values
final energy	-3.31	eV/atom
space group	P4/mmm (123)
magnetization	3.68	μB per formula unit

---

Record 5
Compound: SbBrN2
Source: Alexandria via LeMat-Bulk
Functional: PBEsol
Structure: relaxed

extended XYZ file:
```
4
Lattice="0.000 2.981 2.981 2.981 0.000 2.981 2.981 2.981 0.000" Properties=species:S:1:pos:R:3 pbc="T T T"
Sb 0.000 0.000 0.000
Br 2.981 2.981 2.981
N 1.491 1.491 1.491
N 4.472 4.472 4.472
```

Calculated values
final energy	-4.05	eV/atom
space group	Fm-3m (225)
magnetization	0.00	μB per formula unit

---

Record 6
Compound: Sb2BrN
Source: Alexandria via LeMat-Bulk
Functional: PBEsol
Structure: relaxed

extended XYZ file:
```
4
Lattice="0.000 3.396 3.396 3.396 0.000 3.396 3.396 3.396 0.000" Properties=species:S:1:pos:R:3 pbc="T T T"
Sb 1.698 1.698 1.698
Sb 5.094 5.094 5.094
Br 0.000 0.000 0.000
N 3.396 3.396 3.396
```

Calculated values
final energy	-3.81	eV/atom
space group	Fm-3m (225)
magnetization	0.00	μB per formula unit